[1]
# LaSmHo6

A relaxed structure of LaSmHo6 (PBE-GGA, Alexandria).

Cell and atoms, written as POSCAR:
```
LaSmHo6
1.0
5.174 -3.339 0.000
5.174 3.339 0.000
-2.240 0.000 8.218
La Sm Ho
1 1 6
Direct
0.000 0.000 0.000 La
0.000 0.000 0.500 Sm
0.059 0.542 0.202 Ho
0.377 0.377 0.579 Ho
0.458 0.941 0.798 Ho
0.542 0.059 0.202 Ho
0.623 0.623 0.421 Ho
0.941 0.458 0.798 Ho
```

Computed properties:
formation energy: 35.7 kJ/mol of atoms

---

[2]
# NdPd12

A relaxed structure of NdPd12 (PBE-GGA, Alexandria).

Cell and atoms, written as POSCAR:
```
NdPd12
1.0
-4.566 4.566 2.642
4.566 -4.566 2.642
4.566 4.566 -2.642
Nd Pd
1 12
Direct
0.000 0.000 0.000 Nd
0.000 0.000 0.500 Pd
0.000 0.351 0.351 Pd
0.000 0.500 0.000 Pd
0.000 0.649 0.649 Pd
0.282 0.500 0.782 Pd
0.351 0.000 0.351 Pd
0.500 0.000 0.000 Pd
0.500 0.282 0.782 Pd
0.500 0.500 0.500 Pd
0.500 0.718 0.218 Pd
0.649 0.000 0.649 Pd
0.718 0.500 0.218 Pd
```

Computed properties:
formation energy: -20.6 kJ/mol of atoms

---

[3]
# U4AsP2Se

A relaxed structure of U4AsP2Se (PBE-GGA, Alexandria).

Cell and atoms, written as POSCAR:
```
U4AsP2Se
1.0
0.000 4.017 5.668
4.007 0.000 5.668
4.007 4.017 0.000
U As P Se
4 1 2 1
Direct
0.005 0.005 0.495 U
0.244 0.244 0.756 U
0.495 0.495 0.005 U
0.756 0.756 0.244 U
0.750 0.750 0.750 As
0.000 0.000 0.000 P
0.250 0.250 0.250 P
0.500 0.500 0.500 Se
```

Computed properties:
uncorrected formation energy: -0.913 eV per atom

---

[4]
# Sr2HS

A relaxed structure of Sr2HS (PBE-GGA, Alexandria).

Cell and atoms, written as POSCAR:
```
Sr2HS
1.0
0.000 3.537 3.537
3.537 0.000 3.537
3.537 3.537 0.000
Sr H S
2 1 1
Direct
0.250 0.250 0.250 Sr
0.750 0.750 0.750 Sr
0.000 0.000 0.000 H
0.500 0.500 0.500 S
```

---

[5]
# Tb4Al12Cd

A relaxed structure of Tb4Al12Cd (PBE-GGA, Alexandria).

Cell and atoms, written as POSCAR:
```
Tb4Al12Cd
1.0
-4.395 4.395 4.395
4.395 -4.395 4.395
4.395 4.395 -4.395
Tb Al Cd
4 12 1
Direct
0.000 0.000 0.500 Tb
0.000 0.500 0.000 Tb
0.500 0.000 0.000 Tb
0.500 0.500 0.500 Tb
0.000 0.313 0.313 Al
0.000 0.687 0.687 Al
0.250 0.500 0.750 Al
0.250 0.750 0.500 Al
0.313 0.000 0.313 Al
0.313 0.313 0.000 Al
0.500 0.250 0.750 Al
0.500 0.750 0.250 Al
0.687 0.000 0.687 Al
0.687 0.687 0.000 Al
0.750 0.250 0.500 Al
0.750 0.500 0.250 Al
0.000 0.000 0.000 Cd
```

Computed properties:
formation energy: -36.2 kJ/mol of atoms

---

[6]
# NaPrPb3

A relaxed structure of NaPrPb3 (PBE-GGA, Alexandria).

Cell and atoms, written as POSCAR:
```
NaPrPb3
1.0
7.411 0.000 0.000
-3.706 6.419 0.000
0.000 0.000 6.517
Na Pr Pb
2 2 6
Direct
0.000 0.000 0.000 Na
0.000 0.000 0.500 Na
0.333 0.667 0.250 Pr
0.667 0.333 0.750 Pr
0.196 0.393 0.750 Pb
0.196 0.804 0.750 Pb
0.393 0.196 0.250 Pb
0.607 0.804 0.750 Pb
0.804 0.196 0.250 Pb
0.804 0.607 0.250 Pb
```

Computed properties:
formation energy: -12.4 kJ/mol of atoms

---

Record order is preserved below.
Volume: 284.0, 220.3, 182.5, 88.5, 339.6, 310.0 Å³/cell
Record order is preserved below.
E_tot: -4.269, -5.373, -8.927, -3.537, -4.161, -3.573 eV/atom